Record 1
The following is a DFT calculation (SCAN) of a crystal of Zn2AsPt relaxed with PBEsol.

Results
Fermi-level density of states   1.404 states/eV per cell
Space-group type   P4/mmm, No. 123
Calculated volume   15.1 A^3/atom
Formation energy from the elements   -92 meV/atom
Raw total energy   -117.8 eV for the cell shown
Density   11.00 g/cm3

Unit cell a=2.9909 b=4.4980 c=4.4980 alpha=90.00 beta=90.00 gamma=90.00
Last column: nearest neighbours and their distance in Å.
Fractional coordinates of all 4 atoms:
As (0.5000, 0.5000, 0.5000)  8 Zn 2.70, 2 As 2.99
Pt (0.5000, 0.0000, 0.0000)  8 Zn 2.70, 2 Pt 2.99
Zn (0.0000, 0.0000, 0.5000)  4 As 2.70, 4 Pt 2.70, 2 Zn 2.99
Zn (0.0000, 0.5000, 0.0000)  4 As 2.70, 4 Pt 2.70, 2 Zn 2.99

Record 2
The following is a DFT calculation (SCAN) of a crystal of Zn2AsPt relaxed with PBEsol.

Results
Fermi-level density of states   1.747 states/eV per cell
Space-group type   P4mm, No. 99
Calculated volume   15.3 A^3/atom
Formation energy from the elements   -118 meV/atom
Raw total energy   -117.9 eV for the cell shown
Density   10.89 g/cm3

Unit cell a=3.3996 b=3.3996 c=5.2904 alpha=90.00 beta=90.00 gamma=90.00
Last column: nearest neighbours and their distance in Å.
Fractional coordinates of all 4 atoms:
As (0.0000, 0.0000, 0.5011)  6 Zn 2.60-2.76, 4 Pt 2.77
Pt (0.5000, 0.5000, 0.7616)  6 Zn 2.56-2.73, 4 As 2.77
Zn (0.0000, 0.0000, 0.9917)  2 As 2.60-2.69, 4 Pt 2.69, 4 Zn 2.75
Zn (0.5000, 0.5000, 0.2455)  2 Pt 2.56-2.73, 4 Zn 2.75, 4 As 2.76

Record 3
The following is a DFT calculation (SCAN) of a crystal of ZnAsPt2 relaxed with PBEsol.

Results
Fermi-level density of states   1.556 states/eV per cell
Space-group type   Fm-3m, No. 225
Calculated volume   15.0 A^3/atom
Formation energy from the elements   -206 meV/atom
E above lowest polymorph   96 meV per atom
Raw total energy   -174.9 eV for the cell shown
Density   14.68 g/cm3

Unit cell a=4.3948 b=4.3948 c=4.3948 alpha=60.00 beta=60.00 gamma=60.00
Last column: nearest neighbours and their distance in Å.
Fractional coordinates of all 4 atoms:
As (0.5000, 0.5000, 0.5000)  8 Pt 2.69
Pt (0.2500, 0.2500, 0.2500)  4 As 2.69, 4 Zn 2.69
Pt (0.7500, 0.7500, 0.7500)  4 As 2.69, 4 Zn 2.69
Zn (0.0000, 0.0000, 0.0000)  8 Pt 2.69

Record 4
The following is a DFT calculation (SCAN) of a crystal of ZnAsPt2 relaxed with PBEsol.

Results
Fermi-level density of states   1.668 states/eV per cell
Space-group type   Pmm2, No. 25
Calculated volume   15.2 A^3/atom
Formation energy from the elements   -303 meV/atom
E above lowest polymorph   0 meV per atom
Raw total energy   -175.3 eV for the cell shown
Density   14.54 g/cm3

Unit cell a=2.9365 b=4.4102 c=4.6794 alpha=90.00 beta=90.00 gamma=90.00
Last column: nearest neighbours and their distance in Å.
Fractional coordinates of all 4 atoms:
As (0.5000, 0.7493, 0.5000)  6 Pt 2.58-2.65
Pt (0.5000, 0.9979, 0.0000)  2 As 2.58, 4 Zn 2.63-2.66
Pt (0.0000, 0.2507, 0.5000)  2 Zn 2.59, 4 As 2.64-2.65
Zn (0.0000, 0.5021, 0.0000)  6 Pt 2.59-2.66

Record 5
The following is a DFT calculation (SCAN) of a crystal of ZnAsPt relaxed with PBEsol.

Results
Fermi-level density of states   1.388 states/eV per cell
Space-group type   F-43m, No. 216
Calculated volume   17.1 A^3/atom
Formation energy from the elements   7 meV/atom
E above lowest polymorph   121 meV per atom
Raw total energy   -103.9 eV for the cell shown
Density   10.84 g/cm3

Unit cell a=4.1733 b=4.1733 c=4.1733 alpha=60.00 beta=60.00 gamma=60.00
Last column: nearest neighbours and their distance in Å.
Fractional coordinates of all 3 atoms:
As (0.0000, 0.0000, 0.0000)  4 Zn 2.56
Pt (0.5000, 0.5000, 0.5000)  4 Zn 2.56
Zn (0.2500, 0.2500, 0.2500)  4 Pt 2.56, 4 As 2.56

Record 6
The following is a DFT calculation (SCAN) of a crystal of ZnAsPt relaxed with PBEsol.

Results
Fermi-level density of states   0.987 states/eV per cell
Space-group type   I4mm, No. 107
Calculated volume   15.7 A^3/atom
Formation energy from the elements   -114 meV/atom
E above lowest polymorph   0 meV per atom
Raw total energy   -104.2 eV for the cell shown
Density   11.80 g/cm3

Unit cell a=2.8643 b=2.8643 c=6.1014 alpha=103.58 beta=103.58 gamma=90.00
Last column: nearest neighbours and their distance in Å.
Fractional coordinates of all 3 atoms:
As (0.0086, 0.0086, 0.0171)  4 Pt 2.76, 4 As 2.86, 4 Zn 2.97
Pt (0.6713, 0.6713, 0.3426)  4 Zn 2.65, 4 As 2.76, 4 Pt 2.86
Zn (0.3201, 0.3201, 0.6402)  4 Pt 2.65, 4 Zn 2.86, 4 As 2.97